Computed, not measured: an optimized crystal structure of Rb2YSF at the PBE level of DFT.

## Properties
total DFT energy (no corrections) = -2.893 eV per atom
space group = P4/mmm, No. 123
calculated volume = 199.0 Å³/f.u.
energy relative to the elements, uncorrected = -13 meV per atom
M_tot = 0.373 μB per atom

CIF file:
```
data_Rb2YSF
_cell_length_a 6.864
_cell_length_b 4.225
_cell_length_c 6.864
_cell_angle_alpha 90.00
_cell_angle_beta 90.00
_cell_angle_gamma 90.00
_space_group_name_H-M_alt 'P 1'
_space_group_IT_number 1
loop_
_space_group_symop_operation_xyz
'x,y,z'
loop_
_atom_site_label
_atom_site_fract_x
_atom_site_fract_y
_atom_site_fract_z
Y1 0.500 0.500 0.500
S1 0.000 0.000 0.000
Rb1 0.000 0.000 0.500
Rb2 0.500 0.000 0.000
F1 0.000 0.500 0.000
```